VASP calculation (GGA-PBE) on a relaxed structure of RbNd2Mo2N6.

Unit cell a=6.5470 b=6.7120 c=6.9242 alpha=92.73 beta=116.79 gamma=116.47
Sites, in units of the cell vectors:
1 Rb 0.0000 0.0000 0.0000
2 Nd 0.3681 0.6757 0.2918
3 Nd 0.6319 0.3243 0.7082
4 Mo 0.2333 0.6719 0.6882
5 Mo 0.7667 0.3281 0.3118
6 N 0.1377 0.6597 0.9040
7 N 0.2906 0.9094 0.5613
8 N 0.4480 0.5666 0.6873
9 N 0.5520 0.4334 0.3127
10 N 0.7094 0.0906 0.4387
11 N 0.8623 0.3403 0.0960

## Properties
E_form (uncorrected), eV/atom: -0.50
Calculated total energy, eV per atom: -7.964
Volume, Å³ per cell: 231



VASP calculation (GGA-PBE) on a relaxed structure of Nd2ReMoN6.

Unit cell a=5.6073 b=5.6282 c=9.6578 alpha=90.00 beta=125.40 gamma=90.00
Sites, in units of the cell vectors:
1 Nd 0.2437 0.0343 0.2500
2 Nd 0.2437 0.4657 0.7500
3 Nd 0.7563 0.5343 0.2500
4 Nd 0.7563 0.9657 0.7500
5 Re 0.0000 0.0000 0.5000
6 Re 0.0000 0.5000 0.0000
7 Mo 0.5000 0.0000 0.0000
8 Mo 0.5000 0.5000 0.5000
9 N 0.1804 0.2197 0.9637
10 N 0.1804 0.2803 0.4637
11 N 0.2420 0.7159 0.9636
12 N 0.2420 0.7841 0.4636
13 N 0.3150 0.0085 0.7478
14 N 0.3150 0.4915 0.2478
15 N 0.6850 0.5085 0.7522
16 N 0.6850 0.9915 0.2522
17 N 0.7580 0.2159 0.5364
18 N 0.7580 0.2841 0.0364
19 N 0.8196 0.7197 0.5363
20 N 0.8196 0.7803 0.0363

## Properties
E_form (uncorrected), eV/atom: -0.72
Calculated total energy, eV per atom: -8.992
Volume, Å³ per cell: 248



VASP calculation (GGA-PBE) on a relaxed structure of NdSmMoN3.

Unit cell a=7.4618 b=3.5590 c=8.3944 alpha=90.00 beta=99.07 gamma=90.00
Sites, in units of the cell vectors:
1 Nd 0.1743 0.2500 0.1452
2 Nd 0.8257 0.7500 0.8548
3 Sm 0.3640 0.7500 0.8419
4 Sm 0.6360 0.2500 0.1581
5 Mo 0.0608 0.2500 0.6161
6 Mo 0.9392 0.7500 0.3839
7 N 0.1075 0.2500 0.8544
8 N 0.1641 0.7500 0.5656
9 N 0.3962 0.7500 0.1285
10 N 0.6038 0.2500 0.8715
11 N 0.8359 0.2500 0.4344
12 N 0.8925 0.7500 0.1456

## Properties
E_form (uncorrected), eV/atom: -0.92
Calculated total energy, eV per atom: -8.465
Volume, Å³ per cell: 220



Look up the volume of the second one.
248 Å³ per cell